K2CdAu4S4 PBE relaxed; ΔE_f (raw) = -578 meV/atom; uncorrected energy = -3.55 eV per atom
1.0
-1.8430 7.4582 -6.1512
-9.6644 -1.5401 -1.0426
6.2575 2.4065 7.2050
Au S K Cd
8 8 4 2
Direct
0.8631 0.3631 0.5000 Au
0.0000 0.5000 0.0000 Au
0.0000 0.0000 0.5000 Au
0.5000 0.5000 0.5000 Au
0.3631 0.8631 0.5000 Au
0.6369 0.1369 0.5000 Au
0.1369 0.6369 0.5000 Au
0.5000 0.0000 0.0000 Au
0.7416 0.8490 0.3302 S
0.0188 0.3490 0.1073 S
0.2416 0.9115 0.8927 S
0.5188 0.4115 0.6698 S
0.9812 0.6510 0.8927 S
0.7584 0.0885 0.1073 S
0.2584 0.1510 0.6698 S
0.4812 0.5885 0.3302 S
0.1539 0.1621 0.3160 K
0.8461 0.8379 0.6840 K
0.3461 0.6621 0.0082 K
0.6539 0.3379 0.9918 K
0.7500 0.7500 0.0000 Cd
0.2500 0.2500 0.0000 Cd

KCdSbAu2 PBE relaxed; ΔE_f (raw) = -259 meV/atom; uncorrected energy = -2.80 eV per atom
1.0
-0.0181 -1.4029 4.6875
2.4535 -4.0407 -1.1998
3.6697 5.4421 -0.9108
K Sb Au Cd
1 1 2 1
Direct
0.4440 0.4440 0.8880 K
0.8201 0.8201 0.6401 Sb
0.7030 0.2030 0.4059 Au
0.0618 0.0618 0.1236 Au
0.1833 0.6833 0.3666 Cd

KCd2SbAu4 PBE relaxed; ΔE_f (raw) = -59 meV/atom; uncorrected energy = -2.58 eV per atom
1.0
5.1582 0.0000 0.0000
2.5791 4.4671 0.0000
2.5791 1.4890 8.4636
Sb K Au Cd
1 1 4 2
Direct
0.5000 0.5000 0.5000 Sb
0.0000 0.0000 0.0000 K
0.1633 0.1633 0.5101 Au
0.8367 0.8367 0.4899 Au
0.3893 0.3893 0.8320 Au
0.6107 0.6107 0.1680 Au
0.2731 0.2731 0.1807 Cd
0.7269 0.7269 0.8193 Cd

K2CdSb4Au3 PBE relaxed; ΔE_f (raw) = -294 meV/atom; uncorrected energy = -3.24 eV per atom
1.0
4.8410 0.0000 0.0000
0.0000 4.8410 0.0000
0.0000 0.0000 11.7688
Au K Sb Cd
3 2 4 1
Direct
0.0000 0.5000 0.1306 Au
0.0000 0.0000 0.5000 Au
0.5000 0.0000 0.8694 Au
0.5000 0.0000 0.2521 K
0.0000 0.5000 0.7479 K
0.5000 0.0000 0.6373 Sb
0.0000 0.5000 0.3627 Sb
0.5000 0.5000 0.0000 Sb
0.0000 0.0000 0.0000 Sb
0.5000 0.5000 0.5000 Cd

KCd2AuSe PBE relaxed; ΔE_f (raw) = 800 meV/atom; uncorrected energy = -1.14 eV per atom
1.0
-3.1322 0.9561 -5.8186
-3.2200 -4.9055 0.9273
-4.6554 3.6428 3.1046
Au Cd K Se
1 2 1 1
Direct
0.0000 0.5000 0.0000 Au
0.5000 0.0000 0.0000 Cd
0.0000 0.0000 0.5000 Cd
0.0000 0.0000 0.0000 K
0.5000 0.5000 0.5000 Se

K2CdSiAu2 PBE relaxed; ΔE_f (raw) = -195 meV/atom; uncorrected energy = -2.71 eV per atom
1.0
-0.2080 -0.9036 -7.1139
6.6138 -1.2563 -0.0338
-4.5162 -5.8589 4.4936
K Cd Si Au
4 2 2 4
Direct
0.3203 0.0654 0.6406 K
0.6797 0.9346 0.3594 K
0.8203 0.5753 0.6406 K
0.1797 0.4247 0.3594 K
0.2500 0.0000 0.0000 Cd
0.7500 0.0000 0.0000 Cd
0.7500 0.5000 0.0000 Si
0.2500 0.5000 0.0000 Si
0.4264 0.6329 0.8529 Au
0.9264 0.2200 0.8529 Au
0.5736 0.3671 0.1471 Au
0.0736 0.7800 0.1471 Au

KCdSiAu2 PBE relaxed; ΔE_f (raw) = -85 meV/atom; uncorrected energy = -2.88 eV per atom
1.0
-4.4587 -1.7164 -1.4639
-0.3329 -2.7064 4.1873
-2.3159 3.9794 2.3880
Au Si Cd K
2 1 1 1
Direct
0.0000 0.5000 0.0000 Au
0.5000 0.0000 0.0000 Au
0.0000 0.0000 0.0000 Si
0.0000 0.0000 0.5000 Cd
0.5000 0.5000 0.5000 K

KCdSnAu3 PBE relaxed; calculated formation energy = -153 meV per atom; uncorrected energy = -2.79 eV per atom
1.0
7.6635 0.0000 0.0000
0.0000 6.8512 0.0000
0.0000 -3.4256 6.6177
Au Sn K Cd
6 2 2 2
Direct
0.2500 0.1945 0.3890 Au
0.0000 0.7130 0.0000 Au
0.7500 0.8055 0.6110 Au
0.5000 0.2870 0.0000 Au
0.0000 0.2870 0.0000 Au
0.5000 0.7130 0.0000 Au
0.7500 0.6042 0.2085 Sn
0.2500 0.3958 0.7915 Sn
0.7500 0.2902 0.5803 K
0.2500 0.7098 0.4197 K
0.2500 0.9852 0.9704 Cd
0.7500 0.0148 0.0296 Cd